The following is a DFT calculation (PBE-GGA) of Ba3CrFe after structural relaxation.

The value obtained for the energy relative to the elements is 0.7675 eV per atom. For the spin magnetization, the calculation gives 6.637 Bohr magnetons per cell. Its energy is -4.00 eV per atom. As for the calculated volume: 212 Å³/cell. Its space-group type is Pm-3m, No. 221.

Geometry as extended XYZ:
```
5
Lattice="5.967 0.000 0.000 0.000 5.967 0.000 0.000 0.000 5.967" Properties=species:S:1:pos:R:3 pbc="T T T"
Ba 0.000 0.000 2.984
Ba 0.000 2.984 0.000
Ba 2.984 0.000 0.000
Cr 2.984 2.984 2.984
Fe 0.000 0.000 0.000
```